[1]
# NdTi2AlIr4, optimized geometry, DFT PBE
data_NdTi2AlIr4
_cell_length_a 4.3274
_cell_length_b 4.3274
_cell_length_c 25.8087
_cell_angle_alpha 90.00
_cell_angle_beta 90.00
_cell_angle_gamma 120.00
_symmetry_space_group_name_H-M 'R -3 m'
_symmetry_Int_Tables_number 166
_symmetry_space_group_name_Hall '-R 3 2"'
loop_
_atom_site_label
_atom_site_type_symbol
_atom_site_fract_x
_atom_site_fract_y
_atom_site_fract_z
Nd1 Nd 0.0000 0.0000 0.0000
Ti1 Ti 0.0000 0.0000 0.2374
Al1 Al 0.0000 0.0000 0.5000
Ir1 Ir 0.0000 0.0000 0.1337
Ir2 Ir 0.0000 0.0000 0.4033
# DFT formation energy, eV/atom: -0.75



[2]
# Ce6Zn2Os, optimized geometry, DFT PBE
data_Ce6Zn2Os
_cell_length_a 8.4550
_cell_length_b 8.4550
_cell_length_c 3.5286
_cell_angle_alpha 90.00
_cell_angle_beta 90.00
_cell_angle_gamma 120.00
_symmetry_space_group_name_H-M 'P -6 2 m'
_symmetry_Int_Tables_number 189
_symmetry_space_group_name_Hall 'P -6 -2'
loop_
_atom_site_label
_atom_site_type_symbol
_atom_site_fract_x
_atom_site_fract_y
_atom_site_fract_z
Ce1 Ce 0.0000 0.2599 0.0000
Ce2 Ce 0.0000 0.5955 0.5000
Zn1 Zn 0.3333 0.6667 0.0000
Os1 Os 0.0000 0.0000 0.5000
# DFT formation energy, eV/atom: -0.13



[3]
# CuRePb2, optimized geometry, DFT PBE
data_CuRePb2
_cell_length_a 4.498
_cell_length_b 4.498
_cell_length_c 7.880
_cell_angle_alpha 90.00
_cell_angle_beta 90.00
_cell_angle_gamma 90.00
_symmetry_space_group_name_H-M 'I 4/m m m'
_symmetry_Int_Tables_number 139
_symmetry_space_group_name_Hall '-I 4 2'
loop_
_atom_site_label
_atom_site_type_symbol
_atom_site_fract_x
_atom_site_fract_y
_atom_site_fract_z
Cu1 Cu 0.000 0.000 0.000
Re1 Re 0.000 0.000 0.500
Pb1 Pb 0.000 0.500 0.250
# DFT formation energy, eV/atom: 0.93
# ΔE to the lowest computed polymorph, meV per atom: 333



[4]
# NiSnS, optimized geometry, DFT PBE
data_NiSnS
_cell_length_a 3.822
_cell_length_b 3.822
_cell_length_c 4.185
_cell_angle_alpha 90.00
_cell_angle_beta 90.00
_cell_angle_gamma 90.00
_symmetry_space_group_name_H-M 'P 4/m m m'
_symmetry_Int_Tables_number 123
_symmetry_space_group_name_Hall '-P 4 2'
loop_
_atom_site_label
_atom_site_type_symbol
_atom_site_fract_x
_atom_site_fract_y
_atom_site_fract_z
Ni1 Ni 0.000 0.000 0.000
Sn1 Sn 0.500 0.500 0.000
S1 S 0.000 0.000 0.500
# Uncorrected formation energy, meV per atom: -106



[5]
# Li2ScW, optimized geometry, DFT PBE
data_Li2ScW
_cell_length_a 3.876
_cell_length_b 3.876
_cell_length_c 9.366
_cell_angle_alpha 90.00
_cell_angle_beta 90.00
_cell_angle_gamma 90.00
_symmetry_space_group_name_H-M 'I 4/m m m'
_symmetry_Int_Tables_number 139
_symmetry_space_group_name_Hall '-I 4 2'
loop_
_atom_site_label
_atom_site_type_symbol
_atom_site_fract_x
_atom_site_fract_y
_atom_site_fract_z
Li1 Li 0.000 0.500 0.250
Sc1 Sc 0.000 0.000 0.000
W1 W 0.000 0.000 0.500
# DFT formation energy, eV/atom: 0.67
# ΔE to the lowest computed polymorph, meV per atom: 400



[6]
# Tl6TeCl12, optimized geometry, DFT PBE
data_Tl6TeCl12
_cell_length_a 13.2474
_cell_length_b 13.2474
_cell_length_c 12.7354
_cell_angle_alpha 90.00
_cell_angle_beta 90.00
_cell_angle_gamma 120.00
_symmetry_space_group_name_H-M 'R -3'
_symmetry_Int_Tables_number 148
_symmetry_space_group_name_Hall '-R 3'
loop_
_atom_site_label
_atom_site_type_symbol
_atom_site_fract_x
_atom_site_fract_y
_atom_site_fract_z
Tl1 Tl 0.0434 0.2575 0.1359
Te1 Te 0.0000 0.0000 0.5000
Cl1 Cl 0.0373 0.2215 0.8928
Cl2 Cl 0.0567 0.1815 0.3860
# Uncorrected formation energy, meV per atom: -773



[7]
# MnPdRh, optimized geometry, DFT PBE
data_MnPdRh
_cell_length_a 4.4035
_cell_length_b 4.4035
_cell_length_c 2.7502
_cell_angle_alpha 90.00
_cell_angle_beta 90.00
_cell_angle_gamma 120.00
_symmetry_space_group_name_H-M 'P -6 m 2'
_symmetry_Int_Tables_number 187
_symmetry_space_group_name_Hall 'P -6 2'
loop_
_atom_site_label
_atom_site_type_symbol
_atom_site_fract_x
_atom_site_fract_y
_atom_site_fract_z
Mn1 Mn 0.0000 0.0000 0.0000
Pd1 Pd 0.6667 0.3333 0.5000
Rh1 Rh 0.3333 0.6667 0.5000
# DFT formation energy, eV/atom: 0.13
# ΔE to the lowest computed polymorph, meV per atom: 199



[8]
# NaP12Au4, optimized geometry, DFT PBE
data_NaP12Au4
_cell_length_a 8.567
_cell_length_b 8.567
_cell_length_c 8.567
_cell_angle_alpha 90.00
_cell_angle_beta 90.00
_cell_angle_gamma 90.00
_symmetry_space_group_name_H-M 'I m -3'
_symmetry_Int_Tables_number 204
_symmetry_space_group_name_Hall '-I 2 2 3'
loop_
_atom_site_label
_atom_site_type_symbol
_atom_site_fract_x
_atom_site_fract_y
_atom_site_fract_z
Na1 Na 0.000 0.000 0.000
P1 P 0.000 0.368 0.128
Au1 Au 0.250 0.250 0.250
# DFT formation energy, eV/atom: 0.03